# Nd12Dy5Tl2 PBE relaxed
# ΔH_f (0 K) (eV/atom): 0.012
# N(E_F) (states/eV per cell): 26.756
# Volume (Å³ per cell): 635.4
# Total magnetization (μB/f.u.): 0.00
data_Nd12Dy5Tl2
_cell_length_a 9.448
_cell_length_b 9.110
_cell_length_c 8.648
_cell_angle_alpha 92.74
_cell_angle_beta 90.00
_cell_angle_gamma 121.24
_symmetry_space_group_name_H-M 'P 1'
_symmetry_Int_Tables_number 1
_symmetry_space_group_name_Hall 'P 1'
loop_
_atom_site_label
_atom_site_type_symbol
_atom_site_fract_x
_atom_site_fract_y
_atom_site_fract_z
Nd1 Nd 0.917 0.833 0.115
Nd2 Nd 0.034 0.699 0.766
Nd3 Nd 0.665 0.699 0.766
Nd4 Nd 0.182 0.753 0.344
Nd5 Nd 0.571 0.753 0.344
Nd6 Nd 0.443 0.887 0.681
Nd7 Nd 0.557 0.113 0.319
Nd8 Nd 0.818 0.247 0.656
Nd9 Nd 0.429 0.247 0.656
Nd10 Nd 0.966 0.301 0.234
Nd11 Nd 0.335 0.301 0.234
Nd12 Nd 0.083 0.167 0.885
Dy1 Dy 0.232 0.465 0.586
Dy2 Dy 0.315 0.630 0.995
Dy3 Dy 0.000 0.000 0.500
Dy4 Dy 0.685 0.370 0.005
Dy5 Dy 0.768 0.535 0.414
Tl1 Tl 0.682 0.000 0.000
Tl2 Tl 0.318 0.000 0.000



# La2MgCuH PBE relaxed
# Relative energy among the computed polymorphs (eV/atom): 0.017
# N(E_F) (states/eV per cell): 2.982
# Volume (Å³ per cell): 110.3
# Total magnetization (μB/f.u.): 0.00
data_La2MgCuH
_cell_length_a 5.099
_cell_length_b 5.099
_cell_length_c 4.243
_cell_angle_alpha 90.00
_cell_angle_beta 90.00
_cell_angle_gamma 90.00
_symmetry_space_group_name_H-M 'P 1'
_symmetry_Int_Tables_number 1
_symmetry_space_group_name_Hall 'P 1'
loop_
_atom_site_label
_atom_site_type_symbol
_atom_site_fract_x
_atom_site_fract_y
_atom_site_fract_z
H1 H 0.000 0.000 0.000
Mg1 Mg 0.000 0.000 0.500
Cu1 Cu 0.500 0.500 0.500
La1 La 0.000 0.500 0.000
La2 La 0.500 0.000 0.000



# CsTlS PBE relaxed
# Relative energy among the computed polymorphs (eV/atom): 0.149
# Energy relative to the elements, uncorrected (eV per formula unit): -1.78
# Volume (Å³ per cell): 101.1
# Total magnetization (μB/f.u.): 0.00
data_CsTlS
_cell_length_a 3.936
_cell_length_b 3.936
_cell_length_c 7.096
_cell_angle_alpha 106.10
_cell_angle_beta 106.10
_cell_angle_gamma 90.00
_symmetry_space_group_name_H-M 'P 1'
_symmetry_Int_Tables_number 1
_symmetry_space_group_name_Hall 'P 1'
loop_
_atom_site_label
_atom_site_type_symbol
_atom_site_fract_x
_atom_site_fract_y
_atom_site_fract_z
Cs1 Cs 0.019 0.019 0.038
Tl1 Tl 0.292 0.292 0.584
S1 S 0.689 0.689 0.379



# La3InCo PBE relaxed
# Relative energy among the computed polymorphs (eV/atom): 0.644
# ΔH_f (0 K) (eV/atom): 0.353
# N(E_F) (states/eV per cell): 10.688
# Volume (Å³ per cell): 348.1
# Total magnetization (μB/f.u.): 0.00
data_La3InCo
_cell_length_a 9.130
_cell_length_b 9.130
_cell_length_c 6.250
_cell_angle_alpha 90.00
_cell_angle_beta 90.00
_cell_angle_gamma 138.07
_symmetry_space_group_name_H-M 'P 1'
_symmetry_Int_Tables_number 1
_symmetry_space_group_name_Hall 'P 1'
loop_
_atom_site_label
_atom_site_type_symbol
_atom_site_fract_x
_atom_site_fract_y
_atom_site_fract_z
In1 In 0.172 0.828 0.250
In2 In 0.828 0.172 0.750
Co1 Co 0.451 0.549 0.250
Co2 Co 0.549 0.451 0.750
La1 La 0.096 0.416 0.250
La2 La 0.584 0.904 0.250
La3 La 0.416 0.096 0.750
La4 La 0.904 0.584 0.750
La5 La 0.000 0.000 0.000
La6 La 0.000 0.000 0.500



# Ca2TaTl PBE relaxed
# Relative energy among the computed polymorphs (eV/atom): 0.191
# ΔH_f (0 K) (eV/atom): 0.536
# N(E_F) (states/eV per cell): 3.135
# Volume (Å³ per cell): 103.8
# Total magnetization (μB/f.u.): 0.00
data_Ca2TaTl
_cell_length_a 5.870
_cell_length_b 5.870
_cell_length_c 5.698
_cell_angle_alpha 77.26
_cell_angle_beta 77.26
_cell_angle_gamma 32.89
_symmetry_space_group_name_H-M 'P 1'
_symmetry_Int_Tables_number 1
_symmetry_space_group_name_Hall 'P 1'
loop_
_atom_site_label
_atom_site_type_symbol
_atom_site_fract_x
_atom_site_fract_y
_atom_site_fract_z
Tl1 Tl 0.250 0.250 0.250
Ca1 Ca 0.001 0.001 0.992
Ca2 Ca 0.499 0.499 0.508
Ta1 Ta 0.750 0.750 0.750



# DyEr2Pa PBE relaxed
# Relative energy among the computed polymorphs (eV/atom): 0.181
# ΔH_f (0 K) (eV/atom): 0.284
# N(E_F) (states/eV per cell): 7.512
# Volume (Å³ per cell): 116.2
# Total magnetization (μB/f.u.): 0.27
data_DyEr2Pa
_cell_length_a 3.517
_cell_length_b 5.749
_cell_length_c 5.749
_cell_angle_alpha 90.00
_cell_angle_beta 90.00
_cell_angle_gamma 90.00
_symmetry_space_group_name_H-M 'P 1'
_symmetry_Int_Tables_number 1
_symmetry_space_group_name_Hall 'P 1'
loop_
_atom_site_label
_atom_site_type_symbol
_atom_site_fract_x
_atom_site_fract_y
_atom_site_fract_z
Pa1 Pa 0.500 0.000 0.000
Dy1 Dy 0.500 0.500 0.500
Er1 Er 0.000 0.000 0.500
Er2 Er 0.000 0.500 0.000



- Among the records above, which one has the lowest volume?
  CsTlS



- total magnetization of number 2 (La2MgCuH)?
  0.00 μB/f.u.



- Which of these has the highest total magnetization?
  DyEr2Pa